Pr4Sm2Ho5, optimized geometry, DFT PBE; E above lowest polymorph = 3.839 kcal/mol of atoms; SG = Immm, No. 71; ΔH_f (0 K) = 0.27 eV per atom
1.0
3.530 0.000 0.000
0.000 9.299 0.000
-1.765 -4.649 11.570
Pr Sm Ho
4 2 5
direct
0.404 0.404 0.808 Pr
0.000 0.293 0.000 Pr
0.596 0.596 0.192 Pr
0.000 0.707 0.000 Pr
0.269 0.269 0.539 Sm
0.731 0.731 0.461 Sm
0.500 0.000 0.000 Ho
0.146 0.342 0.292 Ho
0.146 0.950 0.292 Ho
0.854 0.050 0.708 Ho
0.854 0.658 0.708 Ho